The following is a PBEsol calculation of a relaxed Ca3RePt crystal, from Alexandria via LeMat-Bulk.

Unit cell a=5.187 b=5.187 c=5.187 alpha=90.00 beta=90.00 gamma=90.00
Sites, in units of the cell vectors:
Re  0.000  0.000  0.000
Ca  0.000  0.500  0.000
Ca  0.500  0.000  0.000
Ca  0.000  0.000  0.500
Pt  0.500  0.500  0.500

Results
**ΔE_f**: 0.945 eV/atom
**Distance to the lowest polymorph of the same formula**: 207 meV per atom
**Size of the total moment**: 0.0 Bohr magnetons per cell
**Raw total energy**: -4.3937 eV per atom